(1)
Computed, not measured: a geometry-optimized SrGe3Au structure at the PBE-GGA level of DFT.

abc: 5.166 5.166 5.166
angles: 90.00 90.00 90.00
Sites, in units of the cell vectors:
1 Sr 0.500 0.500 0.500
2 Ge 0.000 0.500 0.000
3 Ge 0.000 0.000 0.500
4 Ge 0.500 0.000 0.000
5 Au 0.000 0.000 0.000

Results
**Formation energy**: 0.147 eV per atom
**DFT total energy**: -18.1 eV for the cell shown
**Magnetization**: 0.0000 μB/atom

=====

(2)
Computed, not measured: a geometry-optimized Pr12Dy5Mg2 structure at the PBE-GGA level of DFT.

abc: 9.303 9.224 8.696
angles: 92.44 90.00 120.28
Sites, in units of the cell vectors:
1 Pr 0.920 0.841 0.119
2 Pr 0.036 0.703 0.765
3 Pr 0.666 0.703 0.765
4 Pr 0.177 0.745 0.318
5 Pr 0.567 0.745 0.318
6 Pr 0.440 0.879 0.660
7 Pr 0.560 0.121 0.340
8 Pr 0.823 0.255 0.682
9 Pr 0.433 0.255 0.682
10 Pr 0.964 0.297 0.235
11 Pr 0.334 0.297 0.235
12 Pr 0.080 0.159 0.881
13 Dy 0.231 0.462 0.571
14 Dy 0.298 0.595 0.972
15 Dy 0.000 0.000 0.500
16 Dy 0.702 0.405 0.028
17 Dy 0.769 0.538 0.429
18 Mg 0.663 0.000 0.000
19 Mg 0.337 0.000 0.000

Results
**Formation energy**: 0.085 eV per atom
**DFT total energy**: -81.9 eV for the cell shown
**Magnetization**: 0.0000 μB/atom

=====

(3)
Computed, not measured: a geometry-optimized CdCuOs2 structure at the PBE-GGA level of DFT.

abc: 5.140 5.140 5.140
angles: 137.38 137.38 61.85
Sites, in units of the cell vectors:
1 Cd 0.250 0.750 0.500
2 Cu 0.750 0.250 0.500
3 Os 0.000 0.000 0.000
4 Os 0.500 0.500 0.000

Results
**Formation energy**: 0.743 eV per atom
**DFT total energy**: -24.5 eV for the cell shown
**Magnetization**: 0.0009 μB/atom

=====

(4)
Computed, not measured: a geometry-optimized Ag3HgF4 structure at the PBE-GGA level of DFT.

abc: 5.280 4.786 9.915
angles: 90.00 90.00 90.00
Sites, in units of the cell vectors:
1 Hg 0.163 0.275 0.000
2 Hg 0.663 0.725 0.500
3 Ag 0.555 0.808 0.000
4 Ag 0.013 0.760 0.267
5 Ag 0.513 0.240 0.233
6 Ag 0.055 0.192 0.500
7 Ag 0.513 0.240 0.767
8 Ag 0.013 0.760 0.733
9 F 0.050 0.775 0.000
10 F 0.711 0.309 0.000
11 F 0.005 0.262 0.257
12 F 0.505 0.738 0.243
13 F 0.211 0.691 0.500
14 F 0.550 0.225 0.500
15 F 0.505 0.738 0.757
16 F 0.005 0.262 0.743

Results
**Formation energy without anion corrections**: -0.98 eV/atom
**DFT total energy**: -48.4 eV for the cell shown
**Energy above the most stable polymorph in this dataset**: 0 meV/atom
**Magnetization**: 0.0000 μB/atom

=====

(5)
Computed, not measured: a geometry-optimized SrLiV structure at the PBE-GGA level of DFT.

abc: 3.379 8.142 5.993
angles: 105.92 97.59 94.10
Sites, in units of the cell vectors:
1 Sr 0.034 0.735 0.512
2 Sr 0.966 0.265 0.488
3 V 0.362 0.432 0.077
4 V 0.638 0.568 0.923
5 Li 0.269 0.882 0.093
6 Li 0.731 0.118 0.907

Results
**Formation energy**: 0.480 eV per atom
**DFT total energy**: -22.6 eV for the cell shown
**Energy above the most stable polymorph in this dataset**: 27 meV/atom
**Magnetization**: 0.0000 μB/atom

=====

(6)
Computed, not measured: a geometry-optimized Cd12AgAu6 structure at the PBE-GGA level of DFT.

abc: 7.290 7.290 7.290
angles: 89.53 89.53 89.53
Sites, in units of the cell vectors:
1 Cd 0.568 0.197 0.472
2 Cd 0.197 0.472 0.568
3 Cd 0.472 0.568 0.197
4 Cd 0.432 0.803 0.528
5 Cd 0.803 0.528 0.432
6 Cd 0.528 0.432 0.803
7 Cd 0.962 0.852 0.629
8 Cd 0.371 0.038 0.148
9 Cd 0.148 0.371 0.038
10 Cd 0.038 0.148 0.371
11 Cd 0.629 0.962 0.852
12 Cd 0.852 0.629 0.962
13 Ag 0.000 0.000 0.000
14 Au 0.276 0.117 0.728
15 Au 0.883 0.272 0.724
16 Au 0.272 0.724 0.883
17 Au 0.724 0.883 0.272
18 Au 0.117 0.728 0.276
19 Au 0.728 0.276 0.117

Results
**Formation energy**: -0.125 eV per atom
**DFT total energy**: -35.9 eV for the cell shown
**Energy above the most stable polymorph in this dataset**: 0 meV/atom
**Magnetization**: 0.0000 μB/atom

=====

(7)
Computed, not measured: a geometry-optimized Sm2Ti2O5 structure at the PBE-GGA level of DFT.

abc: 8.680 8.680 8.680
angles: 143.75 142.51 53.14
Last column: magnetic moment on the atom in μB.
Sites, in units of the cell vectors:
1 O 0.717 0.717 0.500  -0.01
2 O 0.283 0.783 0.000  -0.01
3 O 0.717 0.217 0.000  -0.01
4 O 0.283 0.283 0.500  -0.01
5 O 0.030 0.626 0.405  -0.01
6 O 0.970 0.374 0.595  -0.01
7 O 0.721 0.126 0.595  -0.01
8 O 0.279 0.874 0.405  -0.01
9 O 0.500 0.500 0.500  0.00
10 O 0.500 0.000 0.000  0.00
11 Sm 0.154 0.135 0.019  0.03
12 Sm 0.846 0.865 0.981  0.03
13 Sm 0.616 0.635 0.981  0.03
14 Sm 0.384 0.365 0.019  0.03
15 Ti 0.000 0.500 0.500  0.63
16 Ti 0.500 0.000 0.500  0.63
17 Ti 0.200 0.750 0.450  0.37
18 Ti 0.800 0.250 0.550  0.37

Results
**Formation energy without anion corrections**: -2.85 eV/atom
**DFT total energy**: -151.4 eV for the cell shown
**Magnetization**: 0.1328 μB/atom

=====

(8)
Computed, not measured: a geometry-optimized Pm2PrMgN structure at the PBE-GGA level of DFT.

abc: 5.147 5.028 5.028
angles: 90.00 90.00 90.00
Sites, in units of the cell vectors:
1 Pm 0.000 0.000 0.500
2 Pm 0.000 0.500 0.000
3 Pr 0.500 0.000 0.000
4 Mg 0.500 0.500 0.500
5 N 0.000 0.000 0.000

Results
**Formation energy without anion corrections**: -0.60 eV/atom
**DFT total energy**: -27.2 eV for the cell shown
**Magnetization**: 0.0000 μB/atom